Tm2Cu7: relaxed, PBE.

a b c (Å): 5.090 5.090 12.634
angles (deg): 78.38 78.38 60.00
Sites, in units of the cell vectors:
Cu: 0.612 0.612 0.165
Cu: 0.611 0.611 0.670
Cu: 0.892 0.389 0.330
Cu: 0.500 0.000 0.000
Cu: 0.388 0.388 0.835
Cu: 0.389 0.389 0.330
Cu: 0.108 0.611 0.670
Cu: 0.389 0.892 0.330
Cu: 0.722 0.722 0.834
Cu: 0.500 0.500 0.000
Cu: 0.278 0.278 0.166
Cu: 0.000 0.500 0.000
Cu: 0.500 0.500 0.500
Cu: 0.611 0.108 0.670
Tm: 0.950 0.950 0.151
Tm: 0.050 0.050 0.849
Tm: 0.148 0.148 0.557
Tm: 0.852 0.852 0.443

Computed properties:
The theoretical density comes out at 9.4 g/cm³. As for the formation energy: -184 kJ/mol of formula units. The density of states at the Fermi level is 12.9 states/eV per cell. Its uncorrected energy is -4.392 eV/atom.